[1]
CaIn2Hg6: optimized geometry, PBE.

Summary:
DFT total energy   -1.16 eV per atom
Energy above the lowest structure with this stoichiometry   0.013 eV per atom
ΔH_f (0 K)   -0.13 eV per atom

abc: 8.602 8.602 8.602
angles: 108.92 108.91 110.59
Sites, in units of the cell vectors:
Ca 0.000 0.500 0.500
Ca 0.000 0.000 0.000
In 0.500 0.352 0.852
In 0.355 0.000 0.355
In 0.645 0.000 0.645
In 0.500 0.648 0.148
Hg 0.234 0.508 0.275
Hg 0.507 0.283 0.224
Hg 0.234 0.959 0.725
Hg 0.210 0.741 0.951
Hg 0.790 0.741 0.532
Hg 0.941 0.717 0.224
Hg 0.210 0.259 0.468
Hg 0.766 0.041 0.275
Hg 0.766 0.492 0.725
Hg 0.790 0.259 0.049
Hg 0.493 0.717 0.776
Hg 0.059 0.283 0.776



[2]
Ca2In3Hg8: optimized geometry, PBE.

Summary:
DFT total energy   -1.31 eV per atom
Energy above the lowest structure with this stoichiometry   0.000 eV per atom
ΔH_f (0 K)   -0.19 eV per atom

abc: 5.393 8.274 8.274
angles: 82.37 77.67 77.67
Sites, in units of the cell vectors:
In 0.000 0.754 0.246
In 0.000 0.246 0.754
In 0.500 0.000 0.000
Ca 0.358 0.293 0.293
Ca 0.642 0.707 0.707
Hg 0.366 0.402 0.906
Hg 0.634 0.598 0.094
Hg 0.066 0.849 0.849
Hg 0.366 0.906 0.402
Hg 0.934 0.151 0.151
Hg 0.221 0.567 0.567
Hg 0.779 0.433 0.433
Hg 0.634 0.094 0.598



[3]
CaIn4Hg6: optimized geometry, PBE.

Summary:
DFT total energy   -1.42 eV per atom
ΔH_f (0 K)   -0.08 eV per atom

abc: 3.836 8.727 9.968
angles: 115.96 90.00 90.00
Sites, in units of the cell vectors:
Ca 0.000 0.986 0.972
Hg 0.000 0.503 0.007
Hg 0.000 0.045 0.532
Hg 0.500 0.829 0.152
Hg 0.500 0.830 0.660
Hg 0.500 0.323 0.152
Hg 0.000 0.487 0.532
In 0.500 0.584 0.802
In 0.000 0.670 0.341
In 0.500 0.218 0.802
In 0.500 0.192 0.383



[4]
Ca2InHg: optimized geometry, PBE.

Summary:
DFT total energy   -2.10 eV per atom
ΔH_f (0 K)   -0.34 eV per atom

abc: 6.186 6.186 6.186
angles: 135.37 135.37 64.96
Sites, in units of the cell vectors:
Ca 0.000 0.000 0.000
Ca 0.250 0.750 0.500
In 0.750 0.250 0.500
Hg 0.500 0.500 0.000



[5]
CaIn3Hg3: optimized geometry, PBE.

Summary:
DFT total energy   -1.77 eV per atom
Energy above the lowest structure with this stoichiometry   0.000 eV per atom
ΔH_f (0 K)   -0.18 eV per atom

abc: 5.523 8.761 8.761
angles: 120.00 90.00 90.00
Sites, in units of the cell vectors:
Hg 0.250 0.526 0.621
Hg 0.750 0.905 0.526
Hg 0.250 0.095 0.474
Hg 0.750 0.621 0.095
Hg 0.750 0.474 0.379
Hg 0.250 0.379 0.905
In 0.250 0.806 0.039
In 0.250 0.961 0.767
In 0.750 0.767 0.806
In 0.750 0.039 0.233
In 0.750 0.194 0.961
In 0.250 0.233 0.194
Ca 0.250 0.667 0.333
Ca 0.750 0.333 0.667



[6]
Ca3InHg5: optimized geometry, PBE.

Summary:
DFT total energy   -1.58 eV per atom
ΔH_f (0 K)   -0.44 eV per atom

abc: 6.362 9.247 9.248
angles: 120.00 90.00 90.00
Sites, in units of the cell vectors:
Ca 0.250 0.641 0.641
Ca 0.750 0.359 0.359
Ca 0.750 0.641 0.000
Ca 0.250 0.359 0.000
Ca 0.750 0.000 0.641
Ca 0.250 0.000 0.359
Hg 0.250 0.695 0.000
Hg 0.000 0.333 0.667
Hg 0.750 0.000 0.305
Hg 0.750 0.695 0.695
Hg 0.500 0.667 0.333
Hg 0.500 0.333 0.667
Hg 0.000 0.667 0.333
Hg 0.250 0.000 0.695
Hg 0.750 0.305 0.000
Hg 0.250 0.305 0.305
In 0.500 0.000 0.000
In 0.000 0.000 0.000